# LiMgRu2C

An optimized crystal structure of LiMgRu2C (PBE-GGA, Alexandria).

Computed properties:
As for the space group: No. 123. The value obtained for the energy relative to the lowest polymorph listed for this composition is 0.000 eV per atom. The calculation puts the formation energy at -0.01 eV/atom. The theoretical density is 6119 kg/m3. The calculation puts the raw total energy at -31.31 eV for the cell shown. The total magnetization comes out at 0.001 μB/atom.

Lattice parameters (Å, degrees): 4.0024 4.0024 4.1571 90.00 90.00 90.00
Closest atoms and distances in Å follow each position.
Fractional coordinates of all 5 atoms:
C 0.0000 0.0000 0.0000  4 Ru 2.00, 2 Li 2.08
Li 0.0000 0.0000 0.5000  2 C 2.08
Ru 0.0000 0.5000 0.0000  2 C 2.00
Ru 0.5000 0.0000 0.0000  2 C 2.00
Mg 0.5000 0.5000 0.5000  4 Li 2.83, 8 Ru 2.89



# LiMg2RuC

An optimized crystal structure of LiMg2RuC (PBE-GGA, Alexandria).

Computed properties:
As for the space group: No. 123. The value obtained for the energy relative to the lowest polymorph listed for this composition is 1.686 eV per atom. The calculation puts the formation energy at 1.78 eV/atom. The theoretical density is 2617 kg/m3. The calculation puts the raw total energy at -14.70 eV for the cell shown. The total magnetization comes out at 0.155 μB/atom.

Lattice parameters (Å, degrees): 4.8758 4.8758 4.5012 90.00 90.00 90.00
Closest atoms and distances in Å follow each position.
Fractional coordinates of all 5 atoms:
Li 0.0000 0.0000 0.5000  2 Ru 2.25
Mg 0.0000 0.5000 0.0000  2 Ru 2.44
Mg 0.5000 0.0000 0.0000  2 Ru 2.44
C 0.5000 0.5000 0.5000  8 Mg 3.32, 4 Li 3.45
Ru 0.0000 0.0000 0.0000  2 Li 2.25, 4 Mg 2.44



# LiMg2RuC

An optimized crystal structure of LiMg2RuC (PBE-GGA, Alexandria).

Computed properties:
As for the space group: No. 123. The value obtained for the energy relative to the lowest polymorph listed for this composition is 0.000 eV per atom. The calculation puts the formation energy at 0.09 eV/atom. The theoretical density is 3628 kg/m3. The calculation puts the raw total energy at -23.14 eV for the cell shown. The total magnetization comes out at 0.000 μB/atom.

Lattice parameters (Å, degrees): 4.4284 4.4284 3.9353 90.00 90.00 90.00
Closest atoms and distances in Å follow each position.
Fractional coordinates of all 5 atoms:
Mg 0.0000 0.5000 0.0000  2 C 2.21
Mg 0.5000 0.0000 0.0000  2 C 2.21
C 0.0000 0.0000 0.0000  2 Ru 1.97
Ru 0.0000 0.0000 0.5000  2 C 1.97
Li 0.5000 0.5000 0.5000  8 Mg 2.96, 4 Ru 3.13



# Li2MgSnC

An optimized crystal structure of Li2MgSnC (PBE-GGA, Alexandria).

Computed properties:
As for the space group: No. 123. The calculation puts the formation energy at 1.62 eV/atom. The theoretical density is 2094 kg/m3. The calculation puts the raw total energy at -10.54 eV for the cell shown. The total magnetization comes out at 0.218 μB/atom.

Lattice parameters (Å, degrees): 5.0810 5.1891 5.0810 90.00 90.00 90.00
Closest atoms and distances in Å follow each position.
Fractional coordinates of all 5 atoms:
Li 0.0000 0.0000 0.5000  2 Mg 2.54
Li 0.5000 0.0000 0.0000  2 Mg 2.54
Sn 0.0000 0.5000 0.0000  2 Mg 2.59
C 0.5000 0.5000 0.5000  4 Sn 3.59, 8 Li 3.63
Mg 0.0000 0.0000 0.0000  4 Li 2.54, 2 Sn 2.59



Q: The lowest total magnetization belongs to which entry?
A: number 3



Q: Which of these has the lowest theoretical density?
A: Li2MgSnC



Copy entry 2 word for word.
# LiMg2RuC

An optimized crystal structure of LiMg2RuC (PBE-GGA, Alexandria).

Computed properties:
As for the space group: No. 123. The value obtained for the energy relative to the lowest polymorph listed for this composition is 1.686 eV per atom. The calculation puts the formation energy at 1.78 eV/atom. The theoretical density is 2617 kg/m3. The calculation puts the raw total energy at -14.70 eV for the cell shown. The total magnetization comes out at 0.155 μB/atom.

Lattice parameters (Å, degrees): 4.8758 4.8758 4.5012 90.00 90.00 90.00
Closest atoms and distances in Å follow each position.
Fractional coordinates of all 5 atoms:
Li 0.0000 0.0000 0.5000  2 Ru 2.25
Mg 0.0000 0.5000 0.0000  2 Ru 2.44
Mg 0.5000 0.0000 0.0000  2 Ru 2.44
C 0.5000 0.5000 0.5000  8 Mg 3.32, 4 Li 3.45
Ru 0.0000 0.0000 0.0000  2 Li 2.25, 4 Mg 2.44